VASP calculation (PBE) on a geometry-optimized ZrInCoOs structure.

Geometry as POSCAR:
```
ZrInCoOs
1.0
0.0000 3.2121 3.2121
3.2121 0.0000 3.2121
3.2121 3.2121 0.0000
Zr In Co Os
1 1 1 1
Cartesian
0.0000 0.0000 0.0000 Zr
3.2121 3.2121 3.2121 In
4.8182 4.8182 4.8182 Co
1.6061 1.6061 1.6061 Os
```

Values from the calculation:
* Fermi-level density of states: 1.09 states/eV per cell
* calculated volume: 66.3 Å³/cell
* energy of formation from the pure elements: -0.146 eV per atom
* total moment: 0.0 Bohr magnetons per cell
* crystal system: cubic